# CuTcPt3 | the Alexandria database | PBE-GGA | relaxed
# **Offset from the most stable computed form**: 0.00 eV/f.u.
# **Total moment**: 0.8385 μB/atom
# **Energy relative to the elements**: 5.96 eV/f.u.
# **Density**: 13.190 g/cm3
data_CuTcPt3
_space_group_name_H-M_alt 'P 1'
_space_group_IT_number 1
_cell_length_a 4.547
_cell_length_b 4.547
_cell_length_c 4.547
_cell_angle_alpha 90.00
_cell_angle_beta 90.00
_cell_angle_gamma 90.00
loop_
_space_group_symop_operation_xyz
'x,y,z'
loop_
_atom_site_label
_atom_site_type_symbol
_atom_site_fract_x
_atom_site_fract_y
_atom_site_fract_z
Cu1 Cu 0.000 0.000 0.000
Tc1 Tc 0.500 0.500 0.500
Pt1 Pt 0.000 0.000 0.500
Pt2 Pt 0.000 0.500 0.000
Pt3 Pt 0.500 0.000 0.000



# Pm15Nd4Y | the Alexandria database | PBE-GGA | relaxed
# **Total moment**: 0.0000 μB/atom
# **Energy relative to the elements**: 0.29 eV/f.u.
# **Density**: 6.829 g/cm3
data_Pm15Nd4Y
_space_group_name_H-M_alt 'P 1'
_space_group_IT_number 1
_cell_length_a 5.172
_cell_length_b 5.172
_cell_length_c 25.820
_cell_angle_alpha 90.00
_cell_angle_beta 90.00
_cell_angle_gamma 90.00
loop_
_space_group_symop_operation_xyz
'x,y,z'
loop_
_atom_site_label
_atom_site_type_symbol
_atom_site_fract_x
_atom_site_fract_y
_atom_site_fract_z
Pm1 Pm 0.000 0.000 0.000
Pm2 Pm 0.000 0.000 0.199
Pm3 Pm 0.000 0.000 0.400
Pm4 Pm 0.000 0.000 0.600
Pm5 Pm 0.000 0.000 0.801
Pm6 Pm 0.000 0.500 0.099
Pm7 Pm 0.000 0.500 0.300
Pm8 Pm 0.000 0.500 0.500
Pm9 Pm 0.000 0.500 0.700
Pm10 Pm 0.000 0.500 0.901
Pm11 Pm 0.500 0.000 0.099
Pm12 Pm 0.500 0.000 0.300
Pm13 Pm 0.500 0.000 0.500
Pm14 Pm 0.500 0.000 0.700
Pm15 Pm 0.500 0.000 0.901
Nd1 Nd 0.500 0.500 0.199
Nd2 Nd 0.500 0.500 0.400
Nd3 Nd 0.500 0.500 0.600
Nd4 Nd 0.500 0.500 0.801
Y1 Y 0.500 0.500 0.000



# KCoSb2 | the Alexandria database | PBE-GGA | relaxed
# **Offset from the most stable computed form**: 2.95 eV/f.u.
# **Total moment**: 0.5416 μB/atom
# **Formation energy from raw total energies**: 0.56 eV/atom
# **Density**: 5.593 g/cm3
data_KCoSb2
_space_group_name_H-M_alt 'P 1'
_space_group_IT_number 1
_cell_length_a 5.665
_cell_length_b 3.231
_cell_length_c 6.074
_cell_angle_alpha 90.00
_cell_angle_beta 114.21
_cell_angle_gamma 90.00
loop_
_space_group_symop_operation_xyz
'x,y,z'
loop_
_atom_site_label
_atom_site_type_symbol
_atom_site_fract_x
_atom_site_fract_y
_atom_site_fract_z
K1 K 0.000 0.000 0.000
Co1 Co 0.000 0.500 0.500
Sb1 Sb 0.500 0.000 0.500
Sb2 Sb 0.500 0.500 0.000



# P3Ir2 | the Alexandria database | PBE-GGA | relaxed
# **Total moment**: 0.0000 μB/atom
# **Energy relative to the elements**: -0.42 eV/f.u.
# **Density**: 10.298 g/cm3
data_P3Ir2
_space_group_name_H-M_alt 'P 1'
_space_group_IT_number 1
_cell_length_a 7.693
_cell_length_b 5.993
_cell_length_c 9.414
_cell_angle_alpha 54.61
_cell_angle_beta 39.42
_cell_angle_gamma 85.97
loop_
_space_group_symop_operation_xyz
'x,y,z'
loop_
_atom_site_label
_atom_site_type_symbol
_atom_site_fract_x
_atom_site_fract_y
_atom_site_fract_z
P1 P 0.000 0.000 0.000
P2 P 0.174 0.501 0.541
P3 P 0.250 0.250 0.250
P4 P 0.466 0.709 0.749
P5 P 0.501 0.174 0.784
P6 P 0.709 0.466 0.076
Ir1 Ir 0.370 0.795 0.542
Ir2 Ir 0.708 0.956 0.880
Ir3 Ir 0.795 0.370 0.294
Ir4 Ir 0.956 0.708 0.455



# ZnRhBr2 | the Alexandria database | PBE-GGA | relaxed
# **Offset from the most stable computed form**: 1.47 eV/f.u.
# **Total moment**: 0.0000 μB/atom
# **Formation energy from raw total energies**: 0.16 eV/atom
# **Density**: 6.653 g/cm3
data_ZnRhBr2
_space_group_name_H-M_alt 'P 1'
_space_group_IT_number 1
_cell_length_a 3.906
_cell_length_b 3.878
_cell_length_c 5.407
_cell_angle_alpha 90.00
_cell_angle_beta 90.12
_cell_angle_gamma 90.00
loop_
_space_group_symop_operation_xyz
'x,y,z'
loop_
_atom_site_label
_atom_site_type_symbol
_atom_site_fract_x
_atom_site_fract_y
_atom_site_fract_z
Zn1 Zn 0.000 0.000 0.000
Rh1 Rh 0.500 0.500 0.500
Br1 Br 0.000 0.000 0.500
Br2 Br 0.500 0.500 0.000



# SrTiCd2Sb | the Alexandria database | PBE-GGA | relaxed
# **Total moment**: 0.4980 μB/atom
# **Formation energy from raw total energies**: 0.60 eV/atom
# **Density**: 4.663 g/cm3
data_SrTiCd2Sb
_space_group_name_H-M_alt 'P 1'
_space_group_IT_number 1
_cell_length_a 5.337
_cell_length_b 5.337
_cell_length_c 6.027
_cell_angle_alpha 90.00
_cell_angle_beta 90.00
_cell_angle_gamma 90.00
loop_
_space_group_symop_operation_xyz
'x,y,z'
loop_
_atom_site_label
_atom_site_type_symbol
_atom_site_fract_x
_atom_site_fract_y
_atom_site_fract_z
Sr1 Sr 0.000 0.000 0.000
Ti1 Ti 0.000 0.000 0.500
Cd1 Cd 0.000 0.500 0.500
Cd2 Cd 0.500 0.000 0.500
Sb1 Sb 0.500 0.500 0.000



# SrLi3Ni | the Alexandria database | PBE-GGA | relaxed
# **Offset from the most stable computed form**: 6.18 eV/f.u.
# **Total moment**: 0.0000 μB/atom
# **Energy relative to the elements**: 6.89 eV/f.u.
# **Density**: 1.965 g/cm3
data_SrLi3Ni
_space_group_name_H-M_alt 'P 1'
_space_group_IT_number 1
_cell_length_a 5.208
_cell_length_b 5.208
_cell_length_c 5.208
_cell_angle_alpha 90.00
_cell_angle_beta 90.00
_cell_angle_gamma 90.00
loop_
_space_group_symop_operation_xyz
'x,y,z'
loop_
_atom_site_label
_atom_site_type_symbol
_atom_site_fract_x
_atom_site_fract_y
_atom_site_fract_z
Sr1 Sr 0.000 0.000 0.000
Li1 Li 0.000 0.000 0.500
Li2 Li 0.000 0.500 0.000
Li3 Li 0.500 0.000 0.000
Ni1 Ni 0.500 0.500 0.500



# Hg2BI | the Alexandria database | PBE-GGA | relaxed
# **Offset from the most stable computed form**: 0.00 eV/f.u.
# **Total moment**: 0.0000 μB/atom
# **Formation energy from raw total energies**: 0.51 eV/atom
# **Density**: 7.846 g/cm3
data_Hg2BI
_space_group_name_H-M_alt 'P 1'
_space_group_IT_number 1
_cell_length_a 6.551
_cell_length_b 6.551
_cell_length_c 10.629
_cell_angle_alpha 90.00
_cell_angle_beta 90.00
_cell_angle_gamma 90.00
loop_
_space_group_symop_operation_xyz
'x,y,z'
loop_
_atom_site_label
_atom_site_type_symbol
_atom_site_fract_x
_atom_site_fract_y
_atom_site_fract_z
Hg1 Hg 0.119 0.250 0.125
Hg2 Hg 0.250 0.619 0.375
Hg3 Hg 0.250 0.881 0.875
Hg4 Hg 0.381 0.250 0.625
Hg5 Hg 0.619 0.750 0.625
Hg6 Hg 0.750 0.119 0.875
Hg7 Hg 0.750 0.381 0.375
Hg8 Hg 0.881 0.750 0.125
B1 B 0.000 0.000 0.000
B2 B 0.000 0.500 0.250
B3 B 0.500 0.000 0.750
B4 B 0.500 0.500 0.500
I1 I 0.000 0.000 0.500
I2 I 0.000 0.500 0.750
I3 I 0.500 0.000 0.250
I4 I 0.500 0.500 0.000



no.,final energy (eV/f.u.),calculated volume (Å³ per cell)
1,-26.6,94
2,-96.5,691
3,-14.2,101
4,-34.4,154
5,-11.3,82
6,-12.5,172
7,-6.3,141
8,-6.8,456